[1]
VASP calculation (PBE-GGA) on an optimized crystal structure of SmHo2Ga.

Unit cell a=4.265 b=11.983 c=8.990 alpha=90.00 beta=90.00 gamma=90.00
Space group Cmcm (No. 63)
One atom of each set of equivalent atoms:
Sm (0.000, 0.059, 0.250) x4
Ho (0.000, 0.355, 0.056) x8
Ga (0.000, 0.251, 0.750) x4

The calculated formation energy comes out at -0.99 eV per formula unit. The calculation puts the total moment at 0.00 Bohr magnetons per cell.


[2]
VASP calculation (PBE-GGA) on an optimized crystal structure of Na2InHg12.

Unit cell a=6.272 b=6.272 c=22.276 alpha=90.00 beta=90.00 gamma=90.00
Space group P4/nbm (No. 125, origin choice 2)
One atom of each set of equivalent atoms:
Na (0.250, 0.750, 0.247) x4
In (0.250, 0.750, 0.500) x2
Hg (0.003, 0.503, 0.400) x8
Hg (0.058, 0.558, 0.068) x8
Hg (0.250, 0.250, 0.168) x4
Hg (0.250, 0.250, 0.301) x4

The calculated formation energy comes out at -0.75 eV per formula unit. The calculation puts the total moment at 0.00 Bohr magnetons per cell.


Q: total moment of number 1 (SmHo2Ga)?
A: 0.00 Bohr magnetons per cell